# 1
A plane-wave DFT calculation with PBE was carried out for a geometry-optimized Li4CoSn2Pt structure.

## Properties
- energy (eV per atom) = -4.018

Lattice parameters (Å, degrees): 4.391 4.391 6.223 90.00 90.00 90.00
Sites, in units of the cell vectors:
Li  0.000  0.000  0.000
Li  0.000  0.500  0.249
Li  0.500  0.000  0.751
Li  0.500  0.500  0.500
Co  0.500  0.500  0.000
Sn  0.000  0.500  0.769
Sn  0.500  0.000  0.231
Pt  0.000  0.000  0.500


# 2
A plane-wave DFT calculation with PBE was carried out for a geometry-optimized FeNiBiW structure.

## Properties
- energy (eV per atom) = -7.040
- relative energy among the computed polymorphs (meV per atom) = 0

Lattice parameters (Å, degrees): 4.436 4.436 4.436 60.00 60.00 60.00
Sites, in units of the cell vectors:
Fe  0.000  0.000  0.000
Ni  0.500  0.500  0.500
Bi  0.750  0.750  0.750
W  0.250  0.250  0.250


# 3
A plane-wave DFT calculation with PBE was carried out for a geometry-optimized SmTmGe2Au2 structure.

## Properties
- energy (eV per atom) = -4.988

Lattice parameters (Å, degrees): 4.481 4.481 7.351 90.00 90.00 120.00
Sites, in units of the cell vectors:
Sm  0.000  0.000  0.000
Tm  0.000  0.000  0.498
Ge  0.333  0.667  0.214
Ge  0.667  0.333  0.702
Au  0.333  0.667  0.771
Au  0.667  0.333  0.303